A plane-wave DFT calculation with PBE was carried out for a geometry-optimized LaSm14Dy structure.

Unit cell a=11.757 b=7.295 c=12.637 alpha=90.00 beta=90.00 gamma=90.00
Space group Amm2 (No. 38)
Symmetry-distinct sites (fractional):
La 0.000 0.000 0.000
Sm 0.000 0.249 0.751
Sm 0.248 0.000 0.334
Sm 0.251 0.249 0.584
Sm 0.252 0.000 0.834
Sm 0.500 0.000 0.168
Sm 0.500 0.000 0.667
Sm 0.500 0.249 0.417
Dy 0.000 0.000 0.501

**Crystal system**: orthorhombic
**Formation energy**: 0.0 eV/f.u.
**Uncorrected energy**: -0.1735 Ha/atom